No. 1
This record from Alexandria via LeMat-Bulk describes a geometry-optimized Nd4SiAsI2 structure. The functional is GGA-PBE.

Computed properties:
raw total energy: -41.4 eV per formula unit
volume: 31.23 A^3/atom
raw formation energy: -1.140 eV per atom

```
data_Nd4SiAsI2
_space_group_name_H-M_alt 'P 1'
_space_group_IT_number 1
_cell_length_a 4.326
_cell_length_b 7.490
_cell_length_c 8.105
_cell_angle_alpha 107.93
_cell_angle_beta 90.00
_cell_angle_gamma 90.00
loop_
_space_group_symop_operation_xyz
'x,y,z'
loop_
_atom_site_label
_atom_site_type_symbol
_atom_site_fract_x
_atom_site_fract_y
_atom_site_fract_z
Nd1 Nd 0.000 0.737 0.195
I1 I 0.500 0.000 0.500
As1 As 0.500 0.500 0.000
Nd2 Nd 0.500 0.226 0.196
Si1 Si 0.000 0.000 0.000
Nd3 Nd 0.000 0.263 0.805
Nd4 Nd 0.500 0.774 0.804
I2 I 0.000 0.500 0.500
```

=====

No. 2
This record from Alexandria via LeMat-Bulk describes a geometry-optimized LiPr2Ga4Ir3 structure. The functional is GGA-PBE.

Computed properties:
raw total energy: -56.4 eV per formula unit
volume: 19.21 A^3/atom
energy of formation: -0.627 eV/atom

```
data_LiPr2Ga4Ir3
_space_group_name_H-M_alt 'P 1'
_space_group_IT_number 1
_cell_length_a 4.370
_cell_length_b 4.370
_cell_length_c 10.055
_cell_angle_alpha 90.00
_cell_angle_beta 90.00
_cell_angle_gamma 90.00
loop_
_space_group_symop_operation_xyz
'x,y,z'
loop_
_atom_site_label
_atom_site_type_symbol
_atom_site_fract_x
_atom_site_fract_y
_atom_site_fract_z
Ga1 Ga 0.000 0.000 0.000
Li1 Li 0.500 0.500 0.500
Ga2 Ga 0.500 0.000 0.621
Ir1 Ir 0.500 0.000 0.868
Pr1 Pr 0.000 0.500 0.751
Ir2 Ir 0.000 0.000 0.500
Pr2 Pr 0.500 0.000 0.249
Ir3 Ir 0.000 0.500 0.132
Ga3 Ga 0.000 0.500 0.379
Ga4 Ga 0.500 0.500 0.000
```

=====

No. 3
This record from Alexandria via LeMat-Bulk describes a geometry-optimized PrEuSc structure. The functional is GGA-PBE.

Computed properties:
raw total energy: -21.1 eV per formula unit
polymorph energy (0 for the lowest one): 1.16 kJ/mol of atoms
volume: 32.94 A^3/atom
energy of formation: 0.109 eV/atom

```
data_PrEuSc
_space_group_name_H-M_alt 'P 1'
_space_group_IT_number 1
_cell_length_a 3.601
_cell_length_b 3.601
_cell_length_c 8.799
_cell_angle_alpha 90.00
_cell_angle_beta 90.00
_cell_angle_gamma 120.00
loop_
_space_group_symop_operation_xyz
'x,y,z'
loop_
_atom_site_label
_atom_site_type_symbol
_atom_site_fract_x
_atom_site_fract_y
_atom_site_fract_z
Sc1 Sc 0.667 0.333 0.341
Eu1 Eu 0.000 0.000 0.013
Pr1 Pr 0.333 0.667 0.646
```

=====

No. 4
This record from Alexandria via LeMat-Bulk describes a geometry-optimized PmDy2Pb structure. The functional is GGA-PBE.

Computed properties:
raw total energy: -18.6 eV per formula unit
polymorph energy (0 for the lowest one): 5.40 kJ/mol of atoms
volume: 32.15 A^3/atom
energy of formation: -0.238 eV/atom

```
data_PmDy2Pb
_space_group_name_H-M_alt 'P 1'
_space_group_IT_number 1
_cell_length_a 4.276
_cell_length_b 6.664
_cell_length_c 9.531
_cell_angle_alpha 90.00
_cell_angle_beta 90.00
_cell_angle_gamma 108.71
loop_
_space_group_symop_operation_xyz
'x,y,z'
loop_
_atom_site_label
_atom_site_type_symbol
_atom_site_fract_x
_atom_site_fract_y
_atom_site_fract_z
Pb1 Pb 0.245 0.489 0.250
Pb2 Pb 0.755 0.511 0.750
Dy1 Dy 0.635 0.270 0.451
Dy2 Dy 0.365 0.730 0.951
Pm1 Pm 0.055 0.111 0.750
Dy3 Dy 0.365 0.730 0.549
Pm2 Pm 0.945 0.889 0.250
Dy4 Dy 0.635 0.270 0.049
```

=====

No. 5
This record from Alexandria via LeMat-Bulk describes a geometry-optimized NpVZn structure. The functional is GGA-PBE.

Computed properties:
raw total energy: -22.3 eV per formula unit
volume: 17.47 A^3/atom
energy of formation: 0.337 eV/atom

```
data_NpVZn
_space_group_name_H-M_alt 'P 1'
_space_group_IT_number 1
_cell_length_a 5.522
_cell_length_b 4.684
_cell_length_c 8.104
_cell_angle_alpha 90.00
_cell_angle_beta 90.00
_cell_angle_gamma 90.00
loop_
_space_group_symop_operation_xyz
'x,y,z'
loop_
_atom_site_label
_atom_site_type_symbol
_atom_site_fract_x
_atom_site_fract_y
_atom_site_fract_z
V1 V 0.750 0.500 0.168
V2 V 0.250 0.000 0.332
V3 V 0.750 0.000 0.668
Zn1 Zn 0.250 0.000 0.666
Zn2 Zn 0.250 0.500 0.166
Np1 Np 0.500 0.500 0.500
Zn3 Zn 0.750 0.000 0.334
Zn4 Zn 0.750 0.500 0.834
V4 V 0.250 0.500 0.832
Np2 Np 0.000 0.500 0.500
Np3 Np 0.500 0.000 0.000
Np4 Np 0.000 0.000 0.000
```

=====

No. 6
This record from Alexandria via LeMat-Bulk describes a geometry-optimized PuNpAl6 structure. The functional is GGA-PBE.

Computed properties:
raw total energy: -51.5 eV per formula unit
volume: 19.05 A^3/atom
energy of formation: -0.219 eV/atom

```
data_PuNpAl6
_space_group_name_H-M_alt 'P 1'
_space_group_IT_number 1
_cell_length_a 4.699
_cell_length_b 6.119
_cell_length_c 6.119
_cell_angle_alpha 119.97
_cell_angle_beta 90.00
_cell_angle_gamma 90.00
loop_
_space_group_symop_operation_xyz
'x,y,z'
loop_
_atom_site_label
_atom_site_type_symbol
_atom_site_fract_x
_atom_site_fract_y
_atom_site_fract_z
Np1 Np 0.000 0.084 0.916
Al1 Al 0.000 0.594 0.406
Al2 Al 0.000 0.062 0.406
Al3 Al 0.500 0.437 0.094
Al4 Al 0.000 0.594 0.938
Pu1 Pu 0.500 0.416 0.584
Al5 Al 0.500 0.906 0.563
Al6 Al 0.500 0.907 0.093
```

=====

No. 7
This record from Alexandria via LeMat-Bulk describes a geometry-optimized CuHgAsRh2 structure. The functional is GGA-PBE.

Computed properties:
raw total energy: -15.3 eV per formula unit
volume: 24.85 A^3/atom
energy of formation: 1.690 eV/atom

```
data_CuHgAsRh2
_space_group_name_H-M_alt 'P 1'
_space_group_IT_number 1
_cell_length_a 5.030
_cell_length_b 5.030
_cell_length_c 4.910
_cell_angle_alpha 90.00
_cell_angle_beta 90.00
_cell_angle_gamma 90.00
loop_
_space_group_symop_operation_xyz
'x,y,z'
loop_
_atom_site_label
_atom_site_type_symbol
_atom_site_fract_x
_atom_site_fract_y
_atom_site_fract_z
Hg1 Hg 0.000 0.000 0.000
Rh1 Rh 0.500 0.000 0.000
Cu1 Cu 0.500 0.500 0.500
Rh2 Rh 0.000 0.500 0.000
As1 As 0.000 0.000 0.500
```

=====

No. 8
This record from Alexandria via LeMat-Bulk describes a geometry-optimized In2NiMo structure. The functional is GGA-PBE.

Computed properties:
raw total energy: -21.1 eV per formula unit
polymorph energy (0 for the lowest one): 4.16 kJ/mol of atoms
volume: 17.40 A^3/atom
energy of formation: 0.246 eV/atom

```
data_In2NiMo
_space_group_name_H-M_alt 'P 1'
_space_group_IT_number 1
_cell_length_a 6.746
_cell_length_b 4.935
_cell_length_c 2.947
_cell_angle_alpha 89.98
_cell_angle_beta 64.14
_cell_angle_gamma 123.59
loop_
_space_group_symop_operation_xyz
'x,y,z'
loop_
_atom_site_label
_atom_site_type_symbol
_atom_site_fract_x
_atom_site_fract_y
_atom_site_fract_z
Mo1 Mo 0.000 0.500 0.500
Ni1 Ni 0.500 0.500 0.000
In1 In 0.500 0.000 0.500
In2 In 0.000 0.000 0.000
```

=====

No. 9
This record from Alexandria via LeMat-Bulk describes a geometry-optimized Nd6GaOs2Cl3 structure. The functional is GGA-PBE.

Computed properties:
raw total energy: -70.0 eV per formula unit
volume: 28.21 A^3/atom
raw formation energy: -0.862 eV per atom

```
data_Nd6GaOs2Cl3
_space_group_name_H-M_alt 'P 1'
_space_group_IT_number 1
_cell_length_a 7.227
_cell_length_b 7.227
_cell_length_c 7.907
_cell_angle_alpha 98.56
_cell_angle_beta 98.56
_cell_angle_gamma 120.73
loop_
_space_group_symop_operation_xyz
'x,y,z'
loop_
_atom_site_label
_atom_site_type_symbol
_atom_site_fract_x
_atom_site_fract_y
_atom_site_fract_z
Cl1 Cl 0.830 0.170 0.500
Os1 Os 0.337 0.663 0.000
Nd1 Nd 0.578 0.938 0.792
Cl2 Cl 0.500 0.500 0.500
Nd2 Nd 0.716 0.716 0.218
Nd3 Nd 0.284 0.284 0.782
Ga1 Ga 0.000 0.000 0.000
Nd4 Nd 0.062 0.422 0.208
Nd5 Nd 0.938 0.578 0.792
Nd6 Nd 0.422 0.062 0.208
Cl3 Cl 0.170 0.830 0.500
Os2 Os 0.663 0.337 0.000
```

=====

No. 10
This record from Alexandria via LeMat-Bulk describes a geometry-optimized FeIr3W structure. The functional is GGA-PBE.

Computed properties:
raw total energy: -46.4 eV per formula unit
polymorph energy (0 for the lowest one): 0.00 kJ/mol of atoms
volume: 16.01 A^3/atom
energy of formation: 0.316 eV/atom

```
data_FeIr3W
_space_group_name_H-M_alt 'P 1'
_space_group_IT_number 1
_cell_length_a 5.036
_cell_length_b 5.147
_cell_length_c 6.970
_cell_angle_alpha 111.67
_cell_angle_beta 83.63
_cell_angle_gamma 107.48
loop_
_space_group_symop_operation_xyz
'x,y,z'
loop_
_atom_site_label
_atom_site_type_symbol
_atom_site_fract_x
_atom_site_fract_y
_atom_site_fract_z
Fe1 Fe 0.750 0.480 0.959
Ir1 Ir 0.000 0.000 0.000
W1 W 0.750 0.819 0.637
Ir2 Ir 0.168 0.576 0.681
Ir3 Ir 0.332 0.104 0.681
Ir4 Ir 0.500 0.000 0.000
W2 W 0.250 0.181 0.363
Ir5 Ir 0.832 0.424 0.319
Ir6 Ir 0.668 0.896 0.319
Fe2 Fe 0.250 0.520 0.041
```

=====

No. 11
This record from Alexandria via LeMat-Bulk describes a geometry-optimized BaLi5Pt2 structure. The functional is GGA-PBE.

Computed properties:
raw total energy: -26.9 eV per formula unit
volume: 20.84 A^3/atom
energy of formation: -0.419 eV/atom

```
data_BaLi5Pt2
_space_group_name_H-M_alt 'P 1'
_space_group_IT_number 1
_cell_length_a 4.201
_cell_length_b 6.718
_cell_length_c 6.718
_cell_angle_alpha 72.56
_cell_angle_beta 71.78
_cell_angle_gamma 71.78
loop_
_space_group_symop_operation_xyz
'x,y,z'
loop_
_atom_site_label
_atom_site_type_symbol
_atom_site_fract_x
_atom_site_fract_y
_atom_site_fract_z
Pt1 Pt 0.746 0.754 0.754
Ba1 Ba 0.000 0.000 0.000
Li1 Li 0.676 0.501 0.148
Li2 Li 0.324 0.852 0.499
Li3 Li 0.676 0.148 0.501
Li4 Li 0.324 0.499 0.852
Li5 Li 0.000 0.500 0.500
Pt2 Pt 0.254 0.246 0.246
```

=====

No. 12
This record from Alexandria via LeMat-Bulk describes a geometry-optimized Tb3ZrSi6 structure. The functional is GGA-PBE.

Computed properties:
raw total energy: -61.3 eV per formula unit
volume: 19.90 A^3/atom
raw formation energy: -0.637 eV per atom

```
data_Tb3ZrSi6
_space_group_name_H-M_alt 'P 1'
_space_group_IT_number 1
_cell_length_a 7.425
_cell_length_b 7.425
_cell_length_c 7.425
_cell_angle_alpha 97.42
_cell_angle_beta 97.42
_cell_angle_gamma 97.42
loop_
_space_group_symop_operation_xyz
'x,y,z'
loop_
_atom_site_label
_atom_site_type_symbol
_atom_site_fract_x
_atom_site_fract_y
_atom_site_fract_z
Tb1 Tb 0.686 0.814 0.250
Tb2 Tb 0.314 0.186 0.750
Tb3 Tb 0.250 0.686 0.814
Si1 Si 0.877 0.591 0.516
Zr1 Zr 0.000 0.000 0.000
Zr2 Zr 0.500 0.500 0.500
Tb4 Tb 0.750 0.314 0.186
Si2 Si 0.091 0.377 0.016
Si3 Si 0.016 0.091 0.377
Si4 Si 0.591 0.516 0.877
Si5 Si 0.909 0.623 0.984
Si6 Si 0.123 0.409 0.484
Tb5 Tb 0.814 0.250 0.686
Si7 Si 0.623 0.984 0.909
Si8 Si 0.377 0.016 0.091
Tb6 Tb 0.186 0.750 0.314
Si9 Si 0.484 0.123 0.409
Si10 Si 0.409 0.484 0.123
Si11 Si 0.984 0.909 0.623
Si12 Si 0.516 0.877 0.591
```